Record 1
## Pm7ThPb4 (PBE-GGA)

Data for Pm7ThPb4 after structural relaxation. Values from VASP.

Cell and atoms, written as Quantum ESPRESSO input:
```
&SYSTEM
  ibrav = 0, nat = 12, ntyp = 3
/
ATOMIC_SPECIES
Th 232.04 Th.upf
Pm 145.00 Pm.upf
Pb 207.20 Pb.upf
CELL_PARAMETERS angstrom
6.0519 0.0000 0.0000
3.0260 9.0370 0.4174
3.0260 0.6132 7.2313
ATOMIC_POSITIONS angstrom
Th 0.0000 0.0000 0.0000
Pm 3.0260 5.8442 2.1425
Pm 6.0519 6.2847 5.8938
Pm 3.0260 1.2172 3.5291
Pm 6.0519 3.3654 1.7549
Pb 6.0519 2.6465 4.7027
Pm 9.0779 3.8060 5.5062
Pm 9.0779 8.4330 4.1196
Pb 6.0519 7.0036 2.9460
Pb 3.0260 3.0382 0.6702
Pm 3.0260 0.0000 0.0000
Pb 9.0779 6.6119 6.9785
```

Results
As for the formation energy from the elements: -111 meV per atom. The uncorrected energy comes out at -56.84 eV for the cell shown.



Record 2
## Pm2ThPb3 (PBE-GGA)

Data for Pm2ThPb3 after structural relaxation. Values from VASP.

Cell and atoms, written as Quantum ESPRESSO input:
```
&SYSTEM
  ibrav = 0, nat = 6, ntyp = 3
/
ATOMIC_SPECIES
Pb 207.20 Pb.upf
Pm 145.00 Pm.upf
Th 232.04 Th.upf
CELL_PARAMETERS angstrom
-3.4189 0.8508 -0.7928
0.6341 -0.6996 -3.4856
-3.7014 -13.0590 1.9477
ATOMIC_POSITIONS angstrom
Pb -2.4759 -8.7353 1.3029
Pm -2.0064 -2.0909 -1.8160
Pb -1.2255 -4.3236 0.6449
Pb 0.0000 0.0000 0.0000
Th -3.2431 -6.4539 -1.1653
Pm -4.4797 -10.8169 -0.5146
```

Results
As for the formation energy from the elements: -433 meV per atom. The calculation puts the relative energy among the computed polymorphs at 3 meV/atom. The uncorrected energy comes out at -30.64 eV for the cell shown.



Record 3
## PmThPb2 (PBE-GGA)

Data for PmThPb2 after structural relaxation. Values from VASP.

Cell and atoms, written as Quantum ESPRESSO input:
```
&SYSTEM
  ibrav = 0, nat = 4, ntyp = 3
/
ATOMIC_SPECIES
Th 232.04 Th.upf
Pb 207.20 Pb.upf
Pm 145.00 Pm.upf
CELL_PARAMETERS angstrom
-1.3740 -3.3053 0.2137
1.9713 -2.6778 1.3424
-3.6109 0.2394 10.5698
ATOMIC_POSITIONS angstrom
Th -1.5068 -2.8718 6.0630
Pb -2.2714 -4.3012 9.1239
Pm 0.0000 0.0000 0.0000
Pb -0.7422 -1.4425 3.0020
```

Results
As for the formation energy from the elements: -266 meV per atom. The uncorrected energy comes out at -20.65 eV for the cell shown.